VASP calculation (PBE) on a geometry-optimized LiHgPb structure.

a b c (Å): 6.0879 6.0879 6.0879
angles (deg): 146.08 146.08 48.73
With the nearest neighbours (Å) after each atom.
Atoms (fractional coordinates):
Li: 0.0000 0.0000 0.0000  4 Hg 2.86, 4 Pb 3.20
Hg: 0.6240 0.6240 0.0000  4 Li 2.86
Pb: 0.3218 0.3218 0.0000  5 Li 3.20-3.57, 5 Hg 3.33-3.35, 4 Pb 3.55

## Properties
total magnetic moment	0.00	μB/f.u.
DFT formation energy	-62	kJ/mol of formula units
theoretical density	9.84	Mg/m³
E	-2.19	eV per atom